# 1
TiMo2W4 after structural relaxation. Source: Alexandria, functional PBE.

Unit cell a=3.128 b=4.433 c=8.804 alpha=90.00 beta=90.00 gamma=90.00
Atoms (fractional coordinates):
Ti (0.000, 0.000, 0.000)
Mo (0.000, 0.000, 0.500)
Mo (0.500, 0.500, 0.500)
W (0.000, 0.500, 0.239)
W (0.000, 0.500, 0.761)
W (0.500, 0.000, 0.250)
W (0.500, 0.000, 0.750)

- energy above the most stable polymorph in this dataset (kJ/mol of atoms) = 0.0
- calculated formation energy (meV per atom) = 372
- uncorrected energy (eV/atom) = -11.252



# 2
TiMoW14 after structural relaxation. Source: Alexandria, functional PBE.

Unit cell a=5.506 b=5.506 c=9.006 alpha=90.00 beta=90.00 gamma=109.28
Atoms (fractional coordinates):
Ti (0.000, 0.000, 0.000)
Mo (0.500, 0.500, 0.000)
W (0.000, 0.000, 0.500)
W (0.000, 0.500, 0.000)
W (0.000, 0.500, 0.500)
W (0.249, 0.751, 0.249)
W (0.249, 0.751, 0.751)
W (0.250, 0.250, 0.251)
W (0.250, 0.250, 0.749)
W (0.500, 0.000, 0.000)
W (0.500, 0.000, 0.500)
W (0.500, 0.500, 0.500)
W (0.750, 0.750, 0.251)
W (0.750, 0.750, 0.749)
W (0.751, 0.249, 0.249)
W (0.751, 0.249, 0.751)

- calculated formation energy (meV per atom) = -53
- uncorrected energy (eV/atom) = -12.557



# 3
Ti5Mo4W2 after structural relaxation. Source: Alexandria, functional PBE.

Unit cell a=6.849 b=6.849 c=6.849 alpha=140.27 beta=110.66 gamma=83.00
Atoms (fractional coordinates):
Ti (0.000, 0.000, 0.000)
Ti (0.066, 0.236, 0.829)
Ti (0.407, 0.236, 0.171)
Ti (0.593, 0.764, 0.829)
Ti (0.934, 0.764, 0.171)
Mo (0.322, 0.500, 0.822)
Mo (0.377, 0.877, 0.500)
Mo (0.623, 0.123, 0.500)
Mo (0.678, 0.500, 0.178)
W (0.134, 0.634, 0.500)
W (0.866, 0.366, 0.500)

- energy above the most stable polymorph in this dataset (kJ/mol of atoms) = 11.5
- calculated formation energy (meV per atom) = 307
- uncorrected energy (eV/atom) = -9.575



# 4
TiMo4W3 after structural relaxation. Source: Alexandria, functional PBE.

Unit cell a=8.971 b=5.363 c=5.397 alpha=90.00 beta=90.00 gamma=90.00
Atoms (fractional coordinates):
Ti (0.000, 0.244, 0.000)
Ti (0.500, 0.756, 0.500)
Mo (0.000, 0.255, 0.501)
Mo (0.000, 0.754, 0.508)
Mo (0.247, 0.913, 0.250)
Mo (0.253, 0.087, 0.750)
Mo (0.500, 0.246, 0.008)
Mo (0.500, 0.745, 0.001)
Mo (0.747, 0.087, 0.750)
Mo (0.753, 0.913, 0.250)
W (0.000, 0.744, 0.008)
W (0.248, 0.585, 0.758)
W (0.252, 0.415, 0.258)
W (0.500, 0.256, 0.508)
W (0.748, 0.415, 0.258)
W (0.752, 0.585, 0.758)

- energy above the most stable polymorph in this dataset (kJ/mol of atoms) = 26.0
- calculated formation energy (meV per atom) = 170
- uncorrected energy (eV/atom) = -11.090



# 5
TiMo3W after structural relaxation. Source: Alexandria, functional PBE.

Unit cell a=3.154 b=5.245 c=5.258 alpha=84.49 beta=72.58 gamma=72.60
Atoms (fractional coordinates):
Ti (0.000, 0.000, 0.000)
Mo (0.198, 0.201, 0.403)
Mo (0.400, 0.403, 0.797)
Mo (0.604, 0.596, 0.197)
W (0.805, 0.798, 0.592)

- energy above the most stable polymorph in this dataset (kJ/mol of atoms) = 0.0
- calculated formation energy (meV per atom) = -129
- uncorrected energy (eV/atom) = -10.797



# 6
TiMo6W3 after structural relaxation. Source: Alexandria, functional PBE.

Unit cell a=7.760 b=4.482 c=9.521 alpha=90.00 beta=106.00 gamma=90.00
Atoms (fractional coordinates):
Ti (0.049, 0.250, 0.401)
Ti (0.951, 0.750, 0.599)
Mo (0.050, 0.750, 0.901)
Mo (0.149, 0.750, 0.200)
Mo (0.152, 0.250, 0.702)
Mo (0.253, 0.750, 0.499)
Mo (0.349, 0.250, 0.297)
Mo (0.449, 0.750, 0.099)
Mo (0.551, 0.250, 0.901)
Mo (0.651, 0.750, 0.703)
Mo (0.747, 0.250, 0.501)
Mo (0.848, 0.750, 0.298)
Mo (0.851, 0.250, 0.800)
Mo (0.950, 0.250, 0.099)
W (0.251, 0.250, 0.999)
W (0.349, 0.750, 0.798)
W (0.448, 0.250, 0.598)
W (0.552, 0.750, 0.402)
W (0.651, 0.250, 0.202)
W (0.749, 0.750, 0.001)

- energy above the most stable polymorph in this dataset (kJ/mol of atoms) = 0.0
- calculated formation energy (meV per atom) = -94
- uncorrected energy (eV/atom) = -11.268



What did the first record say?
TiMo2W4 after structural relaxation. Source: Alexandria, functional PBE.

Unit cell a=3.128 b=4.433 c=8.804 alpha=90.00 beta=90.00 gamma=90.00
Atoms (fractional coordinates):
Ti (0.000, 0.000, 0.000)
Mo (0.000, 0.000, 0.500)
Mo (0.500, 0.500, 0.500)
W (0.000, 0.500, 0.239)
W (0.000, 0.500, 0.761)
W (0.500, 0.000, 0.250)
W (0.500, 0.000, 0.750)

- energy above the most stable polymorph in this dataset (kJ/mol of atoms) = 0.0
- calculated formation energy (meV per atom) = 372
- uncorrected energy (eV/atom) = -11.252



Q: Among the records above, which one has the lowest uncorrected energy?
A: TiMoW14



Q: Which formula does entry 5 have?
A: TiMo3W